1.
Computed, not measured: a relaxed structure of TaAlNO2 at the PBE level of DFT.

The structure in POSCAR format:
```
TaAlNO2
1.0
3.919 0.000 0.000
0.000 3.919 0.000
0.000 0.000 4.224
Ta Al N O
1 1 1 2
direct
0.000 0.000 0.000 Ta
0.500 0.500 0.500 Al
0.000 0.000 0.500 N
0.000 0.500 0.000 O
0.500 0.000 0.000 O
```

Output
For the uncorrected formation energy, the calculation gives -1.26 eV/atom. Its total DFT energy (no corrections) is -8.0293 eV/atom. The value obtained for the total magnetization is 0.000 μB per formula unit.



2.
Computed, not measured: a relaxed structure of Tb6Al2NO at the PBE level of DFT.

The structure in POSCAR format:
```
Tb6Al2NO
1.0
0.000 4.777 4.777
4.777 0.000 4.777
4.777 4.777 0.000
Tb Al N O
6 2 1 1
direct
0.248 0.248 0.752 Tb
0.248 0.752 0.248 Tb
0.248 0.752 0.752 Tb
0.752 0.248 0.248 Tb
0.752 0.248 0.752 Tb
0.752 0.752 0.248 Tb
0.250 0.250 0.250 Al
0.750 0.750 0.750 Al
0.000 0.000 0.000 N
0.500 0.500 0.500 O
```

Output
For the uncorrected formation energy, the calculation gives -1.15 eV/atom. Its total DFT energy (no corrections) is -6.0060 eV/atom. The value obtained for the total magnetization is 0.000 μB per formula unit.



3.
Computed, not measured: a relaxed structure of AlTcN2O at the PBE level of DFT.

The structure in POSCAR format:
```
AlTcN2O
1.0
3.914 0.000 0.000
0.000 3.914 0.000
0.000 0.000 3.860
Al Tc N O
1 1 2 1
direct
0.000 0.000 0.000 Al
0.500 0.500 0.500 Tc
0.000 0.500 0.500 N
0.500 0.000 0.500 N
0.500 0.500 0.000 O
```

Output
For the uncorrected formation energy, the calculation gives 0.20 eV/atom. Its total DFT energy (no corrections) is -6.9410 eV/atom. The value obtained for the total magnetization is 0.000 μB per formula unit.



- Which formula does entry 3 have?
  AlTcN2O



- What is the total DFT energy (no corrections) in the third record?
  -6.9410 eV/atom



- What is the total DFT energy (no corrections) in the third record?
  -6.9410 eV/atom



- What is the total DFT energy (no corrections) in the third record?
  -6.9410 eV/atom